First-principles (GGA-PBE) data for an optimized crystal structure of PrZrAgPb, as listed in the Alexandria database.

Cell lengths 5.241, 5.241, 5.241 Å; angles 60.00, 60.00, 60.00 degrees
Positions (direct):
1 Pb 0.750 0.750 0.750
2 Pr 0.000 0.000 0.000
3 Zr 0.500 0.500 0.500
4 Ag 0.250 0.250 0.250

Output
ΔH_f (0 K)	-0.16	eV/atom

First-principles (GGA-PBE) data for an optimized crystal structure of K2CoW, as listed in the Alexandria database.

Cell lengths 5.869, 3.728, 3.728 Å; angles 90.00, 90.00, 90.00 degrees
Positions (direct):
1 Co 0.500 0.000 0.500
2 K 0.000 0.000 0.000
3 K 0.000 0.500 0.500
4 W 0.500 0.500 0.000

Output
ΔH_f (0 K)	1.60	eV/atom
energy above the lowest structure with this stoichiometry	755	meV/atom

First-principles (GGA-PBE) data for an optimized crystal structure of Ac3Pr2Dy, as listed in the Alexandria database.

Cell lengths 7.195, 9.475, 7.195 Å; angles 82.40, 83.70, 97.60 degrees
Positions (direct):
1 Ac 0.557 0.250 0.557
2 Ac 0.443 0.750 0.443
3 Ac 0.133 0.979 0.703
4 Ac 0.703 0.521 0.133
5 Ac 0.297 0.479 0.867
6 Ac 0.867 0.021 0.297
7 Pr 0.884 0.618 0.616
8 Pr 0.384 0.118 0.116
9 Pr 0.616 0.882 0.884
10 Pr 0.116 0.382 0.384
11 Dy 0.119 0.750 0.119
12 Dy 0.881 0.250 0.881

Output
ΔH_f (0 K)	0.11	eV/atom

First-principles (GGA-PBE) data for an optimized crystal structure of Ta3CrH8, as listed in the Alexandria database.

Cell lengths 4.434, 5.435, 4.434 Å; angles 65.93, 90.00, 114.07 degrees
Each line ends with the local moment (μB).
Positions (direct):
1 Ta 0.750 0.500 0.750  -0.09
2 Ta 0.250 0.500 0.250  -0.09
3 Ta 0.500 0.000 0.500  0.04
4 Cr 0.000 0.000 0.000  1.39
5 H 0.357 0.236 0.120  0.00
6 H 0.880 0.236 0.643  0.00
7 H 0.643 0.764 0.357  0.00
8 H 0.120 0.764 0.880  0.00
9 H 0.643 0.764 0.879  0.00
10 H 0.121 0.764 0.357  0.00
11 H 0.357 0.236 0.643  0.00
12 H 0.879 0.236 0.121  0.00

Output
total energy	-6.094	eV/atom